No. 1
NaTlIr2 after structural relaxation, computed with PBE-GGA.

Calculated values
DFT total energy, eV per cell: -36.03
Calculated formation energy, meV per atom: 848.2
Total moment, μB/atom: 0.00
V, Å³ per atom: 20.5

a = 8.002 Å, b = 8.002 Å, c = 6.212 Å
α = 49.91°, β = 49.91°, γ = 90.00°
Fractional coordinates of all 8 atoms:
1 Ir 0.662 0.125 0.250
2 Ir 0.875 0.912 0.750
3 Ir 0.088 0.625 0.250
4 Ir 0.375 0.338 0.750
5 Tl 0.750 0.250 0.500
6 Tl 0.000 0.000 0.000
7 Na 0.250 0.750 0.500
8 Na 0.500 0.500 0.000

---

No. 2
Na3Mg2Pb4 after structural relaxation, computed with PBE-GGA.

Calculated values
DFT total energy, eV per cell: -22.99
Calculated formation energy, meV per atom: -111.7
Total moment, μB/atom: 0.00
V, Å³ per atom: 28.2

a = 5.303 Å, b = 5.454 Å, c = 10.114 Å
α = 96.12°, β = 90.00°, γ = 119.09°
Fractional coordinates of all 9 atoms:
1 Na 0.629 0.259 0.758
2 Pb 0.946 0.893 0.649
3 Pb 0.054 0.107 0.351
4 Pb 0.321 0.642 0.913
5 Mg 0.275 0.550 0.599
6 Na 0.000 0.000 0.000
7 Pb 0.679 0.358 0.087
8 Na 0.371 0.741 0.242
9 Mg 0.725 0.450 0.401

---

No. 3
AcNdTm after structural relaxation, computed with PBE-GGA.

Calculated values
DFT total energy, eV per cell: -26.38
Energy relative to the lowest polymorph listed for this composition, eV per atom: 0.0000
Calculated formation energy, meV per atom: 53.1
Total moment, μB/atom: 0.00
V, Å³ per atom: 36.9

a = 3.675 Å, b = 5.615 Å, c = 10.873 Å
α = 90.00°, β = 99.80°, γ = 90.00°
Fractional coordinates of all 6 atoms:
1 Ac 0.204 0.250 0.907
2 Tm 0.041 0.250 0.578
3 Ac 0.796 0.750 0.093
4 Tm 0.959 0.750 0.422
5 Nd 0.607 0.750 0.713
6 Nd 0.393 0.250 0.287

---

No. 4
LaSbP3 after structural relaxation, computed with PBE-GGA.

Calculated values
DFT total energy, eV per cell: -24.60
Energy relative to the lowest polymorph listed for this composition, eV per atom: 0.0000
Total moment, μB/atom: 0.00
Formation energy (no corrections), eV per atom: 0.136
V, Å³ per atom: 25.3

a = 5.022 Å, b = 5.022 Å, c = 5.022 Å
α = 90.00°, β = 90.00°, γ = 90.00°
Fractional coordinates of all 5 atoms:
1 Sb 0.000 0.000 0.000
2 P 0.000 0.000 0.500
3 La 0.500 0.500 0.500
4 P 0.000 0.500 0.000
5 P 0.500 0.000 0.000

---

No. 5
NaTl3Cu2I6 after structural relaxation, computed with PBE-GGA.

Calculated values
DFT total energy, eV per cell: -31.81
Total moment, μB/atom: 0.00
Formation energy (no corrections), eV per atom: -0.492
V, Å³ per atom: 48.6

a = 8.658 Å, b = 8.658 Å, c = 8.978 Å
α = 90.00°, β = 90.00°, γ = 120.00°
Fractional coordinates of all 12 atoms:
1 I 0.835 0.165 0.719
2 Cu 0.667 0.333 0.731
3 Na 0.000 0.000 0.500
4 Cu 0.333 0.667 0.269
5 I 0.331 0.165 0.719
6 Tl 0.000 0.000 0.000
7 I 0.835 0.669 0.719
8 I 0.165 0.835 0.281
9 Tl 0.333 0.667 0.589
10 Tl 0.667 0.333 0.411
11 I 0.669 0.835 0.281
12 I 0.165 0.331 0.281

---

No. 6
SbI2NCl after structural relaxation, computed with PBE-GGA.

Calculated values
DFT total energy, eV per cell: -13.47
Energy relative to the lowest polymorph listed for this composition, eV per atom: 0.0442
Total moment, μB/atom: 0.00
Formation energy (no corrections), eV per atom: 0.785
V, Å³ per atom: 24.5

a = 4.936 Å, b = 4.936 Å, c = 5.027 Å
α = 90.00°, β = 90.00°, γ = 90.00°
Fractional coordinates of all 5 atoms:
1 I 0.000 0.500 0.000
2 Cl 0.500 0.500 0.500
3 Sb 0.000 0.000 0.500
4 N 0.000 0.000 0.000
5 I 0.500 0.000 0.000

---

No. 7
Na10B13C7 after structural relaxation, computed with PBE-GGA.

Calculated values
DFT total energy, eV per cell: -161.76
Energy relative to the lowest polymorph listed for this composition, eV per atom: 0.0081
Calculated formation energy, meV per atom: 93.4
Total moment, μB/atom: 0.01
V, Å³ per atom: 10.2

a = 12.781 Å, b = 12.781 Å, c = 8.528 Å
α = 90.00°, β = 90.00°, γ = 167.31°
Fractional coordinates of all 30 atoms:
1 Na 0.601 0.399 0.996
2 C 0.733 0.267 0.250
3 Na 0.000 0.000 0.996
4 Na 0.799 0.201 0.999
5 B 0.858 0.142 0.250
6 Na 0.799 0.201 0.501
7 Na 0.399 0.601 0.501
8 C 0.327 0.673 0.250
9 B 0.535 0.465 0.250
10 Na 0.201 0.799 0.502
11 B 0.264 0.736 0.250
12 B 0.734 0.266 0.750
13 B 0.469 0.531 0.250
14 B 0.926 0.074 0.250
15 C 0.072 0.928 0.750
16 Na 0.601 0.399 0.504
17 B 0.137 0.863 0.750
18 C 0.138 0.862 0.250
19 B 0.467 0.533 0.750
20 B 0.540 0.460 0.750
21 Na 0.201 0.799 0.998
22 C 0.863 0.137 0.750
23 B 0.927 0.073 0.750
24 Na 0.399 0.601 0.999
25 B 0.670 0.330 0.250
26 Na 0.000 0.000 0.504
27 C 0.266 0.734 0.750
28 B 0.331 0.669 0.750
29 B 0.077 0.923 0.250
30 C 0.669 0.331 0.750

---

No. 8
Li8Ca3In after structural relaxation, computed with PBE-GGA.

Calculated values
DFT total energy, eV per cell: -24.96
Calculated formation energy, meV per atom: -75.4
Total moment, μB/atom: 0.00
V, Å³ per atom: 24.2

a = 5.799 Å, b = 5.799 Å, c = 10.528 Å
α = 74.01°, β = 74.01°, γ = 60.00°
Fractional coordinates of all 12 atoms:
1 Li 0.449 0.938 0.674
2 Li 0.937 0.433 0.198
3 Li 0.433 0.433 0.198
4 Li 0.433 0.937 0.198
5 In 0.874 0.874 0.379
6 Li 0.938 0.938 0.674
7 Ca 0.506 0.506 0.481
8 Ca 0.377 0.377 0.868
9 Li 0.686 0.686 0.942
10 Li 0.938 0.449 0.674
11 Li 0.189 0.189 0.432
12 Ca 0.989 0.989 0.032